(1)
# RbInGe PBE optimized geometry
# electronic total energy	-33.31	eV/cell
# formation energy	0	kJ/mol of formula units
# calculated volume	431.03	Å³/cell
data_RbInGe
_cell_length_a 15.9811
_cell_length_b 5.4435
_cell_length_c 5.1784
_cell_angle_alpha 90.00
_cell_angle_beta 106.90
_cell_angle_gamma 90.00
_symmetry_space_group_name_H-M 'C 1 2 1'
_symmetry_Int_Tables_number 5
loop_
_symmetry_equiv_pos_as_xyz
'x,y,z'
'-x,y,-z'
'x+1/2,y+1/2,z'
'-x+1/2,y+1/2,-z'
loop_
_atom_site_label
_atom_site_type_symbol
_atom_site_fract_x
_atom_site_fract_y
_atom_site_fract_z
Rb1 Rb 0.1798 0.0000 0.1895
In1 In 0.0000 0.5357 0.0000
In2 In 0.0000 0.8894 0.5000
Ge1 Ge 0.0842 0.3777 0.6256

(2)
# RbMgIn2Au4 PBE optimized geometry
# electronic total energy	-70.82	eV/cell
# formation energy	-237	kJ/mol of formula units
# calculated volume	600.28	Å³/cell
data_RbMgIn2Au4
_cell_length_a 4.7440
_cell_length_b 4.7440
_cell_length_c 30.7988
_cell_angle_alpha 90.00
_cell_angle_beta 90.00
_cell_angle_gamma 120.00
_symmetry_space_group_name_H-M 'R -3 m'
_symmetry_Int_Tables_number 166
_symmetry_space_group_name_Hall '-R 3 2"'
loop_
_atom_site_label
_atom_site_type_symbol
_atom_site_fract_x
_atom_site_fract_y
_atom_site_fract_z
Rb1 Rb 0.0000 0.0000 0.0000
Mg1 Mg 0.0000 0.0000 0.5000
In1 In 0.0000 0.0000 0.2368
Au1 Au 0.0000 0.0000 0.1388
Au2 Au 0.0000 0.0000 0.4116

(3)
# ScZnBr2 PBE optimized geometry
# electronic total energy	-13.90	eV/cell
# polymorph energy (0 for the lowest one)	0.169	eV per atom
# formation energy (no corrections)	-2.95	eV/f.u.
# calculated volume	141.81	Å³/cell
data_ScZnBr2
_cell_length_a 3.7526
_cell_length_b 3.7473
_cell_length_c 10.0847
_cell_angle_alpha 90.00
_cell_angle_beta 90.27
_cell_angle_gamma 90.00
_symmetry_space_group_name_H-M 'P 1 2/m 1'
_symmetry_Int_Tables_number 10
loop_
_symmetry_equiv_pos_as_xyz
'x,y,z'
'-x,-y,-z'
'-x,y,-z'
'x,-y,z'
loop_
_atom_site_label
_atom_site_type_symbol
_atom_site_fract_x
_atom_site_fract_y
_atom_site_fract_z
Sc1 Sc 0.0000 0.0000 0.0000
Zn1 Zn 0.5000 0.0000 0.5000
Br1 Br 0.0052 0.5000 0.1846

(4)
# LaIn3Au3 PBE optimized geometry
# electronic total energy	-46.58	eV/cell
# polymorph energy (0 for the lowest one)	0.383	eV per atom
# formation energy	-30	kJ/mol of formula units
# calculated volume	421.51	Å³/cell
data_LaIn3Au3
_cell_length_a 7.4979
_cell_length_b 7.4979
_cell_length_c 7.4979
_cell_angle_alpha 90.00
_cell_angle_beta 90.00
_cell_angle_gamma 90.00
_symmetry_space_group_name_H-M 'P m -3 n'
_symmetry_Int_Tables_number 223
_symmetry_space_group_name_Hall '-P 4n 2 3'
loop_
_atom_site_label
_atom_site_type_symbol
_atom_site_fract_x
_atom_site_fract_y
_atom_site_fract_z
La1 La 0.0000 0.0000 0.0000
In1 In 0.0000 0.2500 0.5000
Au1 Au 0.0000 0.5000 0.2500

(5)
# RbMgAg2H PBE optimized geometry
# electronic total energy	-8.57	eV/cell
# calculated volume	198.60	Å³/cell
data_RbMgAg2H
_cell_length_a 5.0527
_cell_length_b 5.0527
_cell_length_c 7.7791
_cell_angle_alpha 90.00
_cell_angle_beta 90.00
_cell_angle_gamma 90.00
_symmetry_space_group_name_H-M 'P 4/m m m'
_symmetry_Int_Tables_number 123
_symmetry_space_group_name_Hall '-P 4 2'
loop_
_atom_site_label
_atom_site_type_symbol
_atom_site_fract_x
_atom_site_fract_y
_atom_site_fract_z
Rb1 Rb 0.0000 0.0000 0.0000
Mg1 Mg 0.0000 0.0000 0.5000
Ag1 Ag 0.0000 0.5000 0.5000
H1 H 0.5000 0.5000 0.0000

(6)
# Li2TlHg PBE optimized geometry
# electronic total energy	-14.94	eV/cell
# formation energy	-94	kJ/mol of formula units
# calculated volume	164.79	Å³/cell
data_Li2TlHg
_cell_length_a 3.6136
_cell_length_b 4.7056
_cell_length_c 9.6910
_cell_angle_alpha 90.00
_cell_angle_beta 90.00
_cell_angle_gamma 90.00
_symmetry_space_group_name_H-M 'I m m 2'
_symmetry_Int_Tables_number 44
loop_
_symmetry_equiv_pos_as_xyz
'x,y,z'
'-x,-y,z'
'-x,y,z'
'x,-y,z'
'x+1/2,y+1/2,z+1/2'
'-x+1/2,-y+1/2,z+1/2'
'-x+1/2,y+1/2,z+1/2'
'x+1/2,-y+1/2,z+1/2'
loop_
_atom_site_label
_atom_site_type_symbol
_atom_site_fract_x
_atom_site_fract_y
_atom_site_fract_z
Li1 Li 0.0000 0.0000 0.0000
Li2 Li 0.0000 0.5000 0.2409
Tl1 Tl 0.0000 0.5000 0.7520
Hg1 Hg 0.0000 0.0000 0.5153

(7)
# BeTe2RuI PBE optimized geometry
# electronic total energy	-16.32	eV/cell
# polymorph energy (0 for the lowest one)	0.000	eV per atom
# formation energy (no corrections)	4.51	eV/f.u.
# calculated volume	149.18	Å³/cell
data_BeTe2RuI
_cell_length_a 5.1329
_cell_length_b 5.1329
_cell_length_c 5.6622
_cell_angle_alpha 90.00
_cell_angle_beta 90.00
_cell_angle_gamma 90.00
_symmetry_space_group_name_H-M 'P 4/m m m'
_symmetry_Int_Tables_number 123
_symmetry_space_group_name_Hall '-P 4 2'
loop_
_atom_site_label
_atom_site_type_symbol
_atom_site_fract_x
_atom_site_fract_y
_atom_site_fract_z
Be1 Be 0.0000 0.0000 0.0000
Te1 Te 0.0000 0.5000 0.5000
Ru1 Ru 0.5000 0.5000 0.5000
I1 I 0.5000 0.5000 0.0000

(8)
# Zr3PI3 PBE optimized geometry
# electronic total energy	-252.74	eV/cell
# formation energy (no corrections)	-6.42	eV/f.u.
# calculated volume	1238.89	Å³/cell
data_Zr3PI3
_cell_length_a 6.6637
_cell_length_b 6.6637
_cell_length_c 32.2156
_cell_angle_alpha 90.00
_cell_angle_beta 90.00
_cell_angle_gamma 120.00
_symmetry_space_group_name_H-M 'R -3'
_symmetry_Int_Tables_number 148
_symmetry_space_group_name_Hall '-R 3'
loop_
_atom_site_label
_atom_site_type_symbol
_atom_site_fract_x
_atom_site_fract_y
_atom_site_fract_z
Zr1 Zr 0.0000 0.3214 0.0393
P1 P 0.0000 0.0000 0.3333
I1 I 0.0000 0.3383 0.8976

(9)
# K3AgTe2 PBE optimized geometry
# electronic total energy	-68.54	eV/cell
# formation energy (no corrections)	-4.71	eV/f.u.
# calculated volume	914.39	Å³/cell
data_K3AgTe2
_cell_length_a 8.3389
_cell_length_b 15.4591
_cell_length_c 7.0931
_cell_angle_alpha 90.00
_cell_angle_beta 90.00
_cell_angle_gamma 90.00
_symmetry_space_group_name_H-M 'I b a m'
_symmetry_Int_Tables_number 72
_symmetry_space_group_name_Hall '-I 2 2c'
loop_
_atom_site_label
_atom_site_type_symbol
_atom_site_fract_x
_atom_site_fract_y
_atom_site_fract_z
K1 K 0.0000 0.0000 0.2500
K2 K 0.1830 0.3270 0.0000
Ag1 Ag 0.0000 0.5000 0.2500
Te1 Te 0.2093 0.3933 0.5000

(10)
# ZrTlCo PBE optimized geometry
# electronic total energy	-63.91	eV/cell
# polymorph energy (0 for the lowest one)	0.638	eV per atom
# formation energy	197	kJ/mol of formula units
# calculated volume	273.16	Å³/cell
data_ZrTlCo
_cell_length_a 6.4884
_cell_length_b 6.4884
_cell_length_c 6.4884
_cell_angle_alpha 90.00
_cell_angle_beta 90.00
_cell_angle_gamma 90.00
_symmetry_space_group_name_H-M 'F -4 3 m'
_symmetry_Int_Tables_number 216
_symmetry_space_group_name_Hall 'F -4 2 3'
loop_
_atom_site_label
_atom_site_type_symbol
_atom_site_fract_x
_atom_site_fract_y
_atom_site_fract_z
Zr1 Zr 0.0000 0.0000 0.0000
Tl1 Tl 0.2500 0.2500 0.2500
Co1 Co 0.2500 0.2500 0.7500

(11)
# CaHo2Cd3 PBE optimized geometry
# electronic total energy	-15.93	eV/cell
# formation energy	-196	kJ/mol of formula units
# calculated volume	159.63	Å³/cell
data_CaHo2Cd3
_cell_length_a 3.7381
_cell_length_b 3.7381
_cell_length_c 11.4237
_cell_angle_alpha 90.00
_cell_angle_beta 90.00
_cell_angle_gamma 90.00
_symmetry_space_group_name_H-M 'P 4/m m m'
_symmetry_Int_Tables_number 123
_symmetry_space_group_name_Hall '-P 4 2'
loop_
_atom_site_label
_atom_site_type_symbol
_atom_site_fract_x
_atom_site_fract_y
_atom_site_fract_z
Ca1 Ca 0.0000 0.0000 0.0000
Ho1 Ho 0.0000 0.0000 0.3379
Cd1 Cd 0.5000 0.5000 0.1776
Cd2 Cd 0.5000 0.5000 0.5000

(12)
# DyY2Cd PBE optimized geometry
# electronic total energy	-56.27	eV/cell
# polymorph energy (0 for the lowest one)	0.078	eV per atom
# formation energy	-30	kJ/mol of formula units
# calculated volume	365.29	Å³/cell
data_DyY2Cd
_cell_length_a 3.6236
_cell_length_b 3.6236
_cell_length_c 32.1233
_cell_angle_alpha 90.00
_cell_angle_beta 90.00
_cell_angle_gamma 120.00
_symmetry_space_group_name_H-M 'R 3 m'
_symmetry_Int_Tables_number 160
_symmetry_space_group_name_Hall 'R 3 -2"'
loop_
_atom_site_label
_atom_site_type_symbol
_atom_site_fract_x
_atom_site_fract_y
_atom_site_fract_z
Dy1 Dy 0.0000 0.0000 0.0000
Y1 Y 0.0000 0.0000 0.5775
Y2 Y 0.0000 0.0000 0.7558
Cd1 Cd 0.0000 0.0000 0.1664

(13)
# Ca3NdSe4 PBE optimized geometry
# electronic total energy	-80.66	eV/cell
# polymorph energy (0 for the lowest one)	0.004	eV per atom
# formation energy (no corrections)	-15.62	eV/f.u.
# calculated volume	423.49	Å³/cell
data_Ca3NdSe4
_cell_length_a 5.9587
_cell_length_b 5.9587
_cell_length_c 11.9274
_cell_angle_alpha 90.00
_cell_angle_beta 90.00
_cell_angle_gamma 90.00
_symmetry_space_group_name_H-M 'I 4/m m m'
_symmetry_Int_Tables_number 139
_symmetry_space_group_name_Hall '-I 4 2'
loop_
_atom_site_label
_atom_site_type_symbol
_atom_site_fract_x
_atom_site_fract_y
_atom_site_fract_z
Ca1 Ca 0.0000 0.0000 0.0000
Ca2 Ca 0.0000 0.5000 0.2500
Nd1 Nd 0.0000 0.0000 0.5000
Se1 Se 0.0000 0.0000 0.2484
Se2 Se 0.0000 0.5000 0.0000

(14)
# LaMo PBE optimized geometry
# electronic total energy	-30.55	eV/cell
# polymorph energy (0 for the lowest one)	0.000	eV per atom
# formation energy	46	kJ/mol of formula units
# calculated volume	99.27	Å³/cell
data_LaMo
_cell_length_a 3.3072
_cell_length_b 3.3072
_cell_length_c 9.0756
_cell_angle_alpha 90.00
_cell_angle_beta 90.00
_cell_angle_gamma 90.00
_symmetry_space_group_name_H-M 'P 4/n m m'
_symmetry_Int_Tables_number 129
loop_
_symmetry_equiv_pos_as_xyz
'x,y,z'
'-x,-y,-z'
'-y+1/2,x,z'
'y+1/2,-x,-z'
'-x+1/2,-y+1/2,z'
'x+1/2,y+1/2,-z'
'y,-x+1/2,z'
'-y,x+1/2,-z'
'x+1/2,-y,-z'
'-x+1/2,y,z'
'-y,-x,-z'
'y,x,z'
'-x,y+1/2,-z'
'x,-y+1/2,z'
'y+1/2,x+1/2,-z'
'-y+1/2,-x+1/2,z'
loop_
_atom_site_label
_atom_site_type_symbol
_atom_site_fract_x
_atom_site_fract_y
_atom_site_fract_z
La1 La 0.2500 0.2500 0.1887
Mo1 Mo 0.2500 0.2500 0.5724

(15)
# ZrPAu2 PBE optimized geometry
# electronic total energy	-44.13	eV/cell
# formation energy	-150	kJ/mol of formula units
# calculated volume	146.72	Å³/cell
data_ZrPAu2
_cell_length_a 3.8526
_cell_length_b 3.8526
_cell_length_c 9.8853
_cell_angle_alpha 90.00
_cell_angle_beta 90.00
_cell_angle_gamma 90.00
_symmetry_space_group_name_H-M 'I 4/m m m'
_symmetry_Int_Tables_number 139
_symmetry_space_group_name_Hall '-I 4 2'
loop_
_atom_site_label
_atom_site_type_symbol
_atom_site_fract_x
_atom_site_fract_y
_atom_site_fract_z
Zr1 Zr 0.0000 0.0000 0.0000
P1 P 0.0000 0.0000 0.5000
Au1 Au 0.0000 0.5000 0.2500

(16)
# Li2Zn2Mo PBE optimized geometry
# electronic total energy	-33.28	eV/cell
# polymorph energy (0 for the lowest one)	0.000	eV per atom
# formation energy	55	kJ/mol of formula units
# calculated volume	137.54	Å³/cell
data_Li2Zn2Mo
_cell_length_a 7.3569
_cell_length_b 7.3569
_cell_length_c 2.5412
_cell_angle_alpha 90.00
_cell_angle_beta 90.00
_cell_angle_gamma 90.00
_symmetry_space_group_name_H-M 'P 4/m b m'
_symmetry_Int_Tables_number 127
_symmetry_space_group_name_Hall '-P 4 2ab'
loop_
_atom_site_label
_atom_site_type_symbol
_atom_site_fract_x
_atom_site_fract_y
_atom_site_fract_z
Li1 Li 0.1210 0.3790 0.0000
Zn1 Zn 0.1784 0.6784 0.5000
Mo1 Mo 0.0000 0.0000 0.0000

(17)
# YGa3CuPt PBE optimized geometry
# electronic total energy	-112.52	eV/cell
# formation energy	-236	kJ/mol of formula units
# calculated volume	437.75	Å³/cell
data_YGa3CuPt
_cell_length_a 5.9744
_cell_length_b 12.2116
_cell_length_c 6.0001
_cell_angle_alpha 90.00
_cell_angle_beta 90.00
_cell_angle_gamma 90.00
_symmetry_space_group_name_H-M 'C m c m'
_symmetry_Int_Tables_number 63
_symmetry_space_group_name_Hall '-C 2c 2'
loop_
_atom_site_label
_atom_site_type_symbol
_atom_site_fract_x
_atom_site_fract_y
_atom_site_fract_z
Y1 Y 0.0000 0.2137 0.2500
Ga1 Ga 0.0000 0.3558 0.7500
Ga2 Ga 0.2105 0.0000 0.0000
Cu1 Cu 0.0000 0.4352 0.2500
Pt1 Pt 0.0000 0.1507 0.7500

(18)
# CaZn2O PBE optimized geometry
# electronic total energy	-51.13	eV/cell
# formation energy (no corrections)	-3.27	eV/f.u.
# calculated volume	278.94	Å³/cell
data_CaZn2O
_cell_length_a 7.7739
_cell_length_b 7.7739
_cell_length_c 4.6157
_cell_angle_alpha 90.00
_cell_angle_beta 90.00
_cell_angle_gamma 90.00
_symmetry_space_group_name_H-M 'I -4 2 d'
_symmetry_Int_Tables_number 122
_symmetry_space_group_name_Hall 'I -4 2bw'
loop_
_atom_site_label
_atom_site_type_symbol
_atom_site_fract_x
_atom_site_fract_y
_atom_site_fract_z
Ca1 Ca 0.0000 0.0000 0.0000
Zn1 Zn 0.1822 0.2500 0.6250
O1 O 0.0000 0.0000 0.5000

(19)
# Ca2TaIr PBE optimized geometry
# electronic total energy	-21.82	eV/cell
# polymorph energy (0 for the lowest one)	0.816	eV per atom
# formation energy	280	kJ/mol of formula units
# calculated volume	87.76	Å³/cell
data_Ca2TaIr
_cell_length_a 5.1596
_cell_length_b 5.1596
_cell_length_c 3.2966
_cell_angle_alpha 90.00
_cell_angle_beta 90.00
_cell_angle_gamma 90.00
_symmetry_space_group_name_H-M 'P 4/m m m'
_symmetry_Int_Tables_number 123
_symmetry_space_group_name_Hall '-P 4 2'
loop_
_atom_site_label
_atom_site_type_symbol
_atom_site_fract_x
_atom_site_fract_y
_atom_site_fract_z
Ca1 Ca 0.0000 0.5000 0.0000
Ta1 Ta 0.0000 0.0000 0.5000
Ir1 Ir 0.5000 0.5000 0.5000

(20)
# Ti2MnPd2 PBE optimized geometry
# electronic total energy	-71.61	eV/cell
# polymorph energy (0 for the lowest one)	0.000	eV per atom
# formation energy	-44	kJ/mol of formula units
# calculated volume	154.38	Å³/cell
data_Ti2MnPd2
_cell_length_a 6.3079
_cell_length_b 6.3079
_cell_length_c 3.8799
_cell_angle_alpha 90.00
_cell_angle_beta 90.00
_cell_angle_gamma 90.00
_symmetry_space_group_name_H-M 'P 4/m b m'
_symmetry_Int_Tables_number 127
_symmetry_space_group_name_Hall '-P 4 2ab'
loop_
_atom_site_label
_atom_site_type_symbol
_atom_site_fract_x
_atom_site_fract_y
_atom_site_fract_z
Ti1 Ti 0.1596 0.3404 0.0000
Mn1 Mn 0.0000 0.0000 0.0000
Pd1 Pd 0.1549 0.6549 0.5000